a.
CoTc2HRh: optimized geometry, GGA-PBE.

The space group is P4/mmm, No. 123. The calculation puts the density of states at the Fermi level at 5.03 states/eV/cell.

Lattice parameters (Å, degrees): 3.8174 3.8174 3.8343 90.00 90.00 90.00
Fractional coordinates of all 5 atoms:
Tc1 0.0000 0.5000 0.0000
Tc2 0.5000 0.0000 0.0000
Co1 0.0000 0.0000 0.5000
H1 0.0000 0.0000 0.0000
Rh1 0.5000 0.5000 0.5000

b.
CoTc2HRh: optimized geometry, GGA-PBE.

The space group is P4/mmm, No. 123. The calculation puts the density of states at the Fermi level at 4.86 states/eV/cell.

Lattice parameters (Å, degrees): 3.8030 3.8030 3.8964 90.00 90.00 90.00
Fractional coordinates of all 5 atoms:
Tc1 0.5000 0.0000 0.0000
Tc2 0.0000 0.5000 0.0000
H1 0.0000 0.0000 0.0000
Co1 0.5000 0.5000 0.5000
Rh1 0.0000 0.0000 0.5000

Sorted by energy, starting with the most stable: a, b.

a.
Co2TcHRh: optimized geometry, GGA-PBE.

The space group is P4/mmm, No. 123. The calculation puts the density of states at the Fermi level at 4.84 states/eV/cell.

Lattice parameters (Å, degrees): 3.7515 3.7515 3.7138 90.00 90.00 90.00
Site moments in Bohr magnetons follow the coordinates.
Fractional coordinates of all 5 atoms:
Co1 0.5000 0.0000 0.0000  0.90
Co2 0.0000 0.5000 0.0000  0.90
H1 0.0000 0.0000 0.0000  -0.01
Tc1 0.5000 0.5000 0.5000  0.78
Rh1 0.0000 0.0000 0.5000  0.14

b.
Co2TcHRh: optimized geometry, GGA-PBE.

The space group is P4/mmm, No. 123. The calculation puts the density of states at the Fermi level at 5.07 states/eV/cell.

Lattice parameters (Å, degrees): 3.7248 3.7248 3.7648 90.00 90.00 90.00
Site moments in Bohr magnetons follow the coordinates.
Fractional coordinates of all 5 atoms:
Rh1 0.5000 0.5000 0.5000  0.15
Co1 0.5000 0.0000 0.0000  0.94
Co2 0.0000 0.5000 0.0000  0.94
Tc1 0.0000 0.0000 0.5000  0.34
H1 0.0000 0.0000 0.0000  -0.01

Sorted by energy, starting with the most stable: b, a.

a.
TiCo2HRh: optimized geometry, GGA-PBE.

The space group is P4/mmm, No. 123. The calculation puts the density of states at the Fermi level at 3.73 states/eV/cell.

Lattice parameters (Å, degrees): 3.6406 3.6406 3.8902 90.00 90.00 90.00
Fractional coordinates of all 5 atoms:
Co1 0.5000 0.0000 0.0000
Co2 0.0000 0.5000 0.0000
Ti1 0.0000 0.0000 0.5000
Rh1 0.5000 0.5000 0.5000
H1 0.0000 0.0000 0.0000

b.
TiCo2HRh: optimized geometry, GGA-PBE.

The space group is P4/mmm, No. 123. The calculation puts the density of states at the Fermi level at 2.22 states/eV/cell.

Lattice parameters (Å, degrees): 3.6937 3.6937 3.7939 90.00 90.00 90.00
Fractional coordinates of all 5 atoms:
Co1 0.0000 0.5000 0.0000
Co2 0.5000 0.0000 0.0000
Ti1 0.5000 0.5000 0.5000
H1 0.0000 0.0000 0.0000
Rh1 0.0000 0.0000 0.5000

Sorted by energy, starting with the most stable: b, a.

a.
CoHRh2W: optimized geometry, GGA-PBE.

The space group is P4/mmm, No. 123. The calculation puts the density of states at the Fermi level at 3.58 states/eV/cell.

Lattice parameters (Å, degrees): 3.8152 3.8152 3.9558 90.00 90.00 90.00
Site moments in Bohr magnetons follow the coordinates.
Fractional coordinates of all 5 atoms:
Rh1 0.5000 0.0000 0.0000  0.09
Rh2 0.0000 0.5000 0.0000  0.09
H1 0.0000 0.0000 0.0000  0.00
W1 0.0000 0.0000 0.5000  -0.16
Co1 0.5000 0.5000 0.5000  0.82

b.
CoHRh2W: optimized geometry, GGA-PBE.

The space group is P4/mmm, No. 123. The calculation puts the density of states at the Fermi level at 3.53 states/eV/cell.

Lattice parameters (Å, degrees): 3.8592 3.8592 3.8052 90.00 90.00 90.00
Fractional coordinates of all 5 atoms:
Co1 0.0000 0.0000 0.5000
W1 0.5000 0.5000 0.5000
Rh1 0.5000 0.0000 0.0000
Rh2 0.0000 0.5000 0.0000
H1 0.0000 0.0000 0.0000

Sorted by energy, starting with the most stable: b, a.